w:
Computed, not measured: crystalline BeGaFe at its relaxed geometry at the PBE-GGA level of DFT.

```
data_BeGaFe
_chemical_formula_sum 'Be4 Ga4 Fe4'
_space_group_name_H-M_alt 'F -4 3 m'
_space_group_IT_number 216
_space_group_name_Hall 'F -4 2 3'
_cell_length_a 5.476
_cell_length_b 5.476
_cell_length_c 5.476
_cell_angle_alpha 90.00
_cell_angle_beta 90.00
_cell_angle_gamma 90.00
loop_
_atom_site_label
_atom_site_fract_x
_atom_site_fract_y
_atom_site_fract_z
_atom_site_occupancy
Be1 0.000 0.000 0.000 1
Ga1 0.000 0.000 0.500 1
Fe1 0.250 0.250 0.250 1
```



x:
Computed, not measured: crystalline BeGaFe at its relaxed geometry at the PBE-GGA level of DFT.

```
data_BeGaFe
_chemical_formula_sum 'Be4 Ga4 Fe4'
_space_group_name_H-M_alt 'F -4 3 m'
_space_group_IT_number 216
_space_group_name_Hall 'F -4 2 3'
_cell_length_a 5.284
_cell_length_b 5.284
_cell_length_c 5.284
_cell_angle_alpha 90.00
_cell_angle_beta 90.00
_cell_angle_gamma 90.00
loop_
_atom_site_label
_atom_site_fract_x
_atom_site_fract_y
_atom_site_fract_z
_atom_site_occupancy
Be1 0.000 0.000 0.000 1
Ga1 0.250 0.250 0.250 1
Fe1 0.250 0.250 0.750 1
```



Ranking the structures above by stability puts x first and w last.